Below is crystalline Pm2RhC at its relaxed geometry, with properties calculated at the GGA-PBE level.

a = 3.6036 Å, b = 3.6036 Å, c = 24.3542 Å
α = 90.00°, β = 90.00°, γ = 120.00°
Closest atoms and distances in Å follow each position.
Space group R-3m (No. 166, hexagonal axes)
Asymmetric unit:
Pm 0.0000 0.0000 0.1081 [6 per cell]  3 C 2.52, 1 Rh 2.63
Rh 0.0000 0.0000 0.0000 [3 per cell]  2 Pm 2.63
C 0.0000 0.0000 0.5000 [3 per cell]  6 Pm 2.52

Computed properties:
- uncorrected energy (eV/cell) = -76.23
- total magnetization (μB per formula unit) = 0.00
- Fermi-level density of states (states/eV/f.u.) = 2.2